Record 1
8
Lattice="5.9848 0.0000 0.0000 0.0000 5.9848 0.0000 0.0000 0.0000 5.9848" Properties=species:S:1:pos:R:3 comment="PBE-GGA PmPa3Al4, optimized geometry" dft_energy_ev_per_atom=-5.58 space_group=Pm-3m m_tot_mub_per_cell=0.288 mass_density_g_cm3=7.3 pbc="T T T"
Al 2.9924 0.0000 0.0000
Al 0.0000 2.9924 0.0000
Al 0.0000 0.0000 2.9924
Al 2.9924 2.9924 2.9924
Pa 2.9924 2.9924 0.0000
Pa 2.9924 0.0000 2.9924
Pa 0.0000 2.9924 2.9924
Pm 0.0000 0.0000 0.0000

=====

Record 2
2
Lattice="-0.8055 -3.9199 -1.2123 -1.7355 -2.7018 2.6781 -3.9526 -1.2465 -0.5546" Properties=species:S:1:pos:R:3 comment="PBE-GGA ErAg, optimized geometry" e_form_ev_per_atom=-0.09 space_group=Fm-3m m_tot_mub_per_cell=0.002 mass_density_g_cm3=8.8 pbc="T T T"
Ag 0.0000 0.0000 0.0000
Er -3.2468 -3.9341 0.4556

=====

Record 3
24
Lattice="-1.2426 5.4482 -0.4353 -0.2062 -3.2880 -4.5347 -12.2429 -5.2906 4.4351" Properties=species:S:1:pos:R:3 comment="PBE-GGA Zr4Zn3Mo2C3, optimized geometry" dft_energy_ev_per_atom=-7.72 space_group=C2/c m_tot_mub_per_cell=0.011 mass_density_g_cm3=7.0 pbc="T T T"
C -0.4526 1.2638 -0.9256
C -0.1031 -1.6440 -2.2673
C -0.9963 0.8964 -4.0444
C -6.6650 -3.0418 -0.9381
C -6.1214 -2.6453 2.2175
C -7.0267 -0.0887 0.4032
Mo -1.9021 1.8308 -2.3675
Mo -6.5422 0.7847 -1.4694
Mo -7.1496 -3.9152 0.9344
Mo -11.7897 -4.9613 1.8325
Zn -3.8609 -0.1411 -1.7912
Zn -3.3550 -3.5805 -2.7712
Zn -4.1887 2.1683 -0.6918
Zn -9.5031 -5.2988 0.1569
Zn -10.3368 0.4500 2.2362
Zn -9.8308 -2.9893 1.2563
Zr -1.3274 -0.8409 -0.4601
Zr -1.8931 -1.2241 -3.7008
Zr -5.3099 -1.6064 0.2948
Zr -5.8420 -2.0398 -2.8308
Zr -7.8498 -1.0907 2.2959
Zr -8.3818 -1.5241 -0.8297
Zr -11.7987 -1.9064 3.1658
Zr -12.3643 -2.2896 -0.0749

=====

Record 4
12
Lattice="1.0198 1.0280 7.2251 -4.1795 0.7325 -6.0245 -4.2642 -8.9305 1.8725" Properties=species:S:1:pos:R:3 comment="PBE-GGA LiZrCuTe2S, optimized geometry" dft_energy_ev_per_atom=-4.92 space_group=Cmcm m_tot_mub_per_cell=0.016 mass_density_g_cm3=5.5 pbc="T T T"
Cu -2.7775 -1.3599 0.7330
Cu -4.6463 -5.8101 2.3402
Li -1.6778 -1.2974 3.5355
Li -5.7461 -5.8726 -0.4624
S -4.8962 -1.4803 -4.6660
S -2.5277 -5.6897 7.7391
Te -2.6136 0.2906 -1.2556
Te -4.2246 -3.0832 -0.5482
Te -3.1993 -4.0868 3.6213
Te -4.8103 -7.4606 4.3287
Zr 0.0000 0.0000 0.0000
Zr -2.1321 -4.4652 0.9362

=====

Record 5
6
Lattice="-0.8459 2.9284 -0.4889 0.7391 -1.8122 -2.3874 -7.5281 -2.2754 -0.6034" Properties=species:S:1:pos:R:3 comment="PBE-GGA CdGeB4, optimized geometry" dft_energy_ev_per_atom=-4.83 space_group=P6/mmm mass_density_g_cm3=5.8 pbc="T T T"
B -2.0892 0.8127 -1.2637
B -1.5608 -0.7675 -1.8965
B -6.0741 -0.3918 -1.5831
B -5.5458 -1.9720 -2.2160
Cd -3.7641 -1.1377 -0.3017
Ge 0.0000 0.0000 0.0000

=====

Record 6
8
Lattice="3.8676 -6.7085 0.0000 3.8676 6.7085 0.0000 -2.5220 0.0000 7.2895" Properties=species:S:1:pos:R:3 comment="PBE-GGA YPuI6, optimized geometry" dft_energy_ev_per_atom=-5.00 space_group=C2 m_tot_mub_per_cell=5.000 mass_density_g_cm3=4.8 pbc="T T T"
I 5.1776 2.3727 1.7632
I 5.2528 -2.3275 1.7648
I 1.1266 -0.0457 1.8015
I 4.0867 -0.0457 5.4880
I -0.0396 -2.3275 5.5248
I 0.0356 2.3727 5.5263
Pu 3.8676 -4.4796 0.0000
Y 3.8676 4.4805 0.0000